# CaCd2In2 PBE-GGA relaxed
data_CaCd2In2
_space_group_name_H-M_alt 'P 4/m b m'
_space_group_IT_number 127
_space_group_name_Hall '-P 4 2ab'
_cell_length_a 8.452
_cell_length_b 8.452
_cell_length_c 3.734
_cell_angle_alpha 90.00
_cell_angle_beta 90.00
_cell_angle_gamma 90.00
loop_
_atom_site_label
_atom_site_fract_x
_atom_site_fract_y
_atom_site_fract_z
Ca1 0.000 0.000 0.000
Cd1 0.124 0.376 0.000
In1 0.177 0.677 0.500
# Calculated total energy = -2.009 eV per atom
# ρ = 6.2 Mg/m³
# ΔE_f = -0.148 eV/atom



# Ca2Cd10In PBE-GGA relaxed
data_Ca2Cd10In
_space_group_name_H-M_alt 'P b a m'
_space_group_IT_number 55
_space_group_name_Hall '-P 2 2ab'
_cell_length_a 10.578
_cell_length_b 12.495
_cell_length_c 5.889
_cell_angle_alpha 90.00
_cell_angle_beta 90.00
_cell_angle_gamma 90.00
loop_
_atom_site_label
_atom_site_fract_x
_atom_site_fract_y
_atom_site_fract_z
Ca1 0.125 0.138 0.000
Cd1 0.036 0.890 0.500
Cd2 0.093 0.698 0.237
Cd3 0.178 0.304 0.500
Cd4 0.234 0.047 0.500
In1 0.000 0.500 0.500
# Calculated total energy = -1.217 eV per atom
# ρ = 5.6 Mg/m³
# ΔE_f = 0.006 eV/atom